Here is an optimized crystal structure of LaThSc4 from the Alexandria database. Energies are from PBE.

Values from the calculation:
Offset from the most stable computed form: 0 meV per atom
Uncorrected energy: -6.21 eV/atom

abc: 5.356 8.570 9.882
angles: 105.31 89.98 128.72
Atoms (fractional coordinates):
La1 0.372 0.622 0.245
Sc1 0.707 0.457 0.417
Sc2 0.464 0.715 0.917
Sc3 0.953 0.202 0.917
Sc4 0.790 0.040 0.583
Sc5 0.536 0.285 0.083
Th1 0.877 0.127 0.254
Sc6 0.293 0.543 0.583
Th2 0.123 0.873 0.746
Sc7 0.047 0.798 0.083
Sc8 0.210 0.960 0.417
La2 0.628 0.378 0.755